No. 1
Compound: RbAg3B
Source: the Alexandria database
Functional: PBE
Structure: relaxed

Unit cell a=6.022 b=6.022 c=6.022 alpha=90.00 beta=90.00 gamma=90.00
Positions (direct):
Rb 0.000 0.000 0.000
Ag 0.000 0.000 0.500
Ag 0.000 0.500 0.000
Ag 0.500 0.000 0.000
B 0.500 0.500 0.500

Summary:
The distance to the lowest polymorph of the same formula comes out at 1699.5 meV per atom. The crystal system is cubic. As for the space-group type: No. 221.

No. 2
Compound: BaAlCd2
Source: the Alexandria database
Functional: PBE
Structure: relaxed

Unit cell a=3.771 b=3.771 c=7.981 alpha=90.00 beta=90.00 gamma=90.00
Positions (direct):
Ba 0.000 0.000 0.000
Al 0.500 0.500 0.695
Cd 0.000 0.000 0.527
Cd 0.500 0.500 0.314

Summary:
As for the energy: -1.940 eV per atom. The crystal system is tetragonal. As for the space-group type: No. 99.

No. 3
Compound: CaPtW2
Source: the Alexandria database
Functional: PBE
Structure: relaxed

Unit cell a=6.297 b=6.297 c=4.852 alpha=112.48 beta=112.48 gamma=25.19
Positions (direct):
Ca 0.000 0.000 0.000
Pt 0.500 0.500 0.500
W 0.213 0.213 0.713
W 0.787 0.787 0.287

Summary:
The distance to the lowest polymorph of the same formula comes out at 16.7 meV per atom. The crystal system is monoclinic. As for the space-group type: No. 12.

No. 4
Compound: AcYAsO2
Source: the Alexandria database
Functional: PBE
Structure: relaxed

Unit cell a=6.725 b=6.725 c=7.555 alpha=90.00 beta=90.00 gamma=144.21
Positions (direct):
Ac 0.228 0.772 0.750
Ac 0.772 0.228 0.250
Y 0.500 0.500 0.000
Y 0.500 0.500 0.500
As 0.048 0.952 0.250
As 0.952 0.048 0.750
O 0.331 0.669 0.056
O 0.331 0.669 0.444
O 0.669 0.331 0.556
O 0.669 0.331 0.944

Summary:
The value obtained for the energy relative to the elements, uncorrected is -2.429 eV per atom. The crystal system is orthorhombic. As for the space-group type: No. 63.

No. 5
Compound: Pr6DyY3Tm2
Source: the Alexandria database
Functional: PBE
Structure: relaxed

Unit cell a=6.305 b=6.305 c=11.871 alpha=95.07 beta=95.07 gamma=119.99
Positions (direct):
Pr 0.083 0.417 0.752
Pr 0.250 0.250 0.248
Pr 0.417 0.083 0.752
Pr 0.583 0.917 0.248
Pr 0.750 0.750 0.752
Pr 0.917 0.583 0.248
Dy 0.500 0.500 0.000
Y 0.000 0.000 0.500
Y 0.333 0.667 0.500
Y 0.667 0.333 0.500
Tm 0.167 0.833 0.000
Tm 0.833 0.167 0.000

Summary:
As for the energy: -5.124 eV per atom. The crystal system is monoclinic. As for the space-group type: No. 12.

No. 6
Compound: Ba4Ga3Cu
Source: the Alexandria database
Functional: PBE
Structure: relaxed

Unit cell a=4.582 b=5.305 c=11.407 alpha=90.00 beta=90.00 gamma=90.00
Positions (direct):
Ba 0.000 0.000 0.000
Ba 0.000 0.500 0.489
Ba 0.500 0.000 0.700
Ba 0.500 0.500 0.200
Ga 0.000 0.500 0.795
Ga 0.500 0.000 0.386
Ga 0.500 0.500 0.901
Cu 0.000 0.000 0.305

Summary:
As for the energy: -2.888 eV per atom. The crystal system is orthorhombic. As for the space-group type: No. 25.

No. 7
Compound: PrHo3C
Source: the Alexandria database
Functional: PBE
Structure: relaxed

Unit cell a=5.048 b=5.048 c=5.048 alpha=90.00 beta=90.00 gamma=90.00
Positions (direct):
Pr 0.000 0.000 0.000
Ho 0.000 0.500 0.500
Ho 0.500 0.000 0.500
Ho 0.500 0.500 0.000
C 0.500 0.500 0.500

Summary:
As for the energy: -5.570 eV per atom. The crystal system is cubic. As for the space-group type: No. 221.

No. 8
Compound: CaCuRh2
Source: the Alexandria database
Functional: PBE
Structure: relaxed

Unit cell a=4.842 b=4.842 c=4.842 alpha=129.67 beta=129.67 gamma=73.94
Positions (direct):
Ca 0.000 0.000 0.000
Cu 0.250 0.750 0.500
Rh 0.500 0.500 0.000
Rh 0.750 0.250 0.500

Summary:
The distance to the lowest polymorph of the same formula comes out at 55.9 meV per atom. The crystal system is tetragonal. As for the space-group type: No. 119.

No. 9
Compound: CeSmP2
Source: the Alexandria database
Functional: PBE
Structure: relaxed

Unit cell a=7.091 b=7.091 c=7.091 alpha=33.58 beta=33.58 gamma=33.58
Positions (direct):
Ce 0.000 0.000 0.000
Sm 0.500 0.500 0.500
P 0.251 0.251 0.251
P 0.749 0.749 0.749

Summary:
The distance to the lowest polymorph of the same formula comes out at 0.0 meV per atom. The crystal system is trigonal. As for the space-group type: No. 166.

No. 10
Compound: ThMn9P4
Source: the Alexandria database
Functional: PBE
Structure: relaxed

Unit cell a=7.960 b=7.960 c=7.960 alpha=122.65 beta=122.65 gamma=85.46
Positions (direct):
Th 0.250 0.250 0.000
Th 0.750 0.750 0.000
Mn 0.000 0.500 0.500
Mn 0.046 0.546 0.236
Mn 0.066 0.810 0.876
Mn 0.190 0.066 0.256
Mn 0.191 0.954 0.500
Mn 0.309 0.809 0.764
Mn 0.310 0.566 0.876
Mn 0.434 0.310 0.744
Mn 0.454 0.691 0.500
Mn 0.500 0.000 0.500
Mn 0.546 0.309 0.500
Mn 0.566 0.690 0.256
Mn 0.690 0.434 0.124
Mn 0.691 0.191 0.236
Mn 0.809 0.046 0.500
Mn 0.810 0.934 0.744
Mn 0.934 0.190 0.124
Mn 0.954 0.454 0.764
P 0.035 0.208 0.500
P 0.208 0.708 0.173
P 0.292 0.465 0.500
P 0.465 0.965 0.173
P 0.535 0.035 0.827
P 0.708 0.535 0.500
P 0.792 0.292 0.827
P 0.965 0.792 0.500

Summary:
As for the energy: -8.456 eV per atom. The crystal system is tetragonal. As for the space-group type: No. 140.

No. 11
Compound: La3PmHo7
Source: the Alexandria database
Functional: PBE
Structure: relaxed

Unit cell a=7.728 b=7.728 c=6.410 alpha=93.33 beta=93.33 gamma=81.72
Positions (direct):
La 0.000 0.000 0.000
La 0.180 0.820 0.500
La 0.820 0.180 0.500
Pm 0.500 0.500 0.000
Ho 0.090 0.428 0.237
Ho 0.240 0.240 0.707
Ho 0.428 0.090 0.237
Ho 0.500 0.500 0.500
Ho 0.572 0.910 0.763
Ho 0.760 0.760 0.293
Ho 0.910 0.572 0.763

Summary:
The distance to the lowest polymorph of the same formula comes out at 42.8 meV per atom. The crystal system is monoclinic. As for the space-group type: No. 12.

No. 12
Compound: La12SnGe5
Source: the Alexandria database
Functional: PBE
Structure: relaxed

Unit cell a=8.996 b=8.996 c=8.996 alpha=112.82 beta=110.16 gamma=105.52
Positions (direct):
La 0.038 0.237 0.802
La 0.181 0.268 0.449
La 0.181 0.732 0.913
La 0.322 0.032 0.710
La 0.322 0.612 0.290
La 0.435 0.237 0.198
La 0.565 0.763 0.802
La 0.678 0.388 0.710
La 0.678 0.968 0.290
La 0.819 0.268 0.087
La 0.819 0.732 0.551
La 0.962 0.763 0.198
Sn 0.500 0.500 0.000
Ge 0.000 0.000 0.000
Ge 0.117 0.617 0.500
Ge 0.372 0.000 0.372
Ge 0.628 0.000 0.628
Ge 0.883 0.383 0.500

Summary:
As for the energy: -5.398 eV per atom. The crystal system is orthorhombic. As for the space-group type: No. 71.